{
  "formula": "AsRhNF2",
  "functional": "GGA-PBE",
  "state": "optimized geometry",
  "crystal_system": "tetragonal",
  "dos_at_fermi_per_ev_cell": 5.96,
  "volume_a3_per_atom": 13.607,
  "polymorph_energy_ev_per_atom": 0.127,
  "formation_energy_uncorrected_mev_per_atom": 208,
  "sg": "P4/mmm (123)",
  "lattice": [[-1.082, 1.929, -3.651], [-4.076, 0.105, 1.263], [0.578, 3.330, 1.588]],
  "species": ["As", "F", "F", "N", "Rh"],
  "fractional_positions": [[0.000, 0.000, 0.000], [0.500, 0.000, 0.000], [0.000, 0.500, 0.000], [0.000, 0.000, 0.500], [0.500, 0.500, 0.500]]
}